A plane-wave DFT calculation with GGA-PBE was carried out for Ac2LaZn2Sn2 after structural relaxation.

Geometry as POSCAR:
```
Ac2LaZn2Sn2
1.0
4.507 0.000 0.000
2.253 3.903 0.000
2.253 1.301 12.906
Ac La Zn Sn
2 1 2 2
Cartesian
2.253 1.301 8.288
6.760 3.903 4.618
0.000 0.000 0.000
4.507 2.602 2.642
4.507 2.602 10.264
6.760 3.903 10.824
2.253 1.301 2.082
```

Properties
Its formation energy is -3.091 eV per formula unit. Its symmetry is R-3m. The calculation puts the volume at 32.43 A^3/atom.